1.
A relaxed PmPb5 crystal. Source: Alexandria via LeMat-Bulk, functional GGA-PBE.

Cell: 4.842 15.911 4.758 Å, 90.00 90.00 90.00°
Space group Cmmm (No. 65)
Inequivalent atoms, fractional coordinates:
Pm (0.000, 0.000, 0.000) [2 per cell]
Pb (0.000, 0.169, 0.500) [4 per cell]
Pb (0.000, 0.341, 0.000) [4 per cell]
Pb (0.000, 0.500, 0.500) [2 per cell]

Results
energy relative to the elements: -192 meV/atom
N(E_F): 0.534 states/eV/atom
total DFT energy (no corrections): -4.074 eV/atom

2.
A relaxed Pm3Pb crystal. Source: Alexandria via LeMat-Bulk, functional GGA-PBE.

Cell: 4.964 4.964 4.964 Å, 90.00 90.00 90.00°
Space group Pm-3m (No. 221)
Inequivalent atoms, fractional coordinates:
Pm (0.000, 0.000, 0.500) [3 per cell]
Pb (0.500, 0.500, 0.500) [1 per cell]

Results
energy relative to the elements: -333 meV/atom
N(E_F): 1.185 states/eV/atom
total DFT energy (no corrections): -4.823 eV/atom

3.
A relaxed PmPb5 crystal. Source: Alexandria via LeMat-Bulk, functional GGA-PBE.

Cell: 6.004 10.761 5.963 Å, 90.00 107.34 90.00°
Space group C2/m (No. 12)
Inequivalent atoms, fractional coordinates:
Pm (0.000, 0.000, 0.000) [2 per cell]
Pb (0.000, 0.162, 0.500) [4 per cell]
Pb (0.000, 0.328, 0.000) [4 per cell]
Pb (0.000, 0.500, 0.500) [2 per cell]

Results
energy relative to the elements: -158 meV/atom
N(E_F): 0.744 states/eV/atom
total DFT energy (no corrections): -4.040 eV/atom

4.
A relaxed PmPb4 crystal. Source: Alexandria via LeMat-Bulk, functional GGA-PBE.

Cell: 11.479 4.570 8.111 Å, 90.00 134.85 90.00°
Space group C2/m (No. 12)
Inequivalent atoms, fractional coordinates:
Pm (0.000, 0.000, 0.000) [2 per cell]
Pb (0.111, 0.500, 0.811) [4 per cell]
Pb (0.200, 0.000, 0.590) [4 per cell]

Results
energy relative to the elements: -203 meV/atom
N(E_F): 0.725 states/eV/atom
total DFT energy (no corrections): -4.120 eV/atom

5.
A relaxed Pm5Pb2 crystal. Source: Alexandria via LeMat-Bulk, functional GGA-PBE.

Cell: 5.962 8.739 9.106 Å, 83.31 89.93 70.09°
Space group P-1 (No. 2)
Inequivalent atoms, fractional coordinates:
Pm (0.075, 0.258, 0.045) [2 per cell]
Pm (0.135, 0.441, 0.684) [2 per cell]
Pm (0.236, 0.000, 0.750) [2 per cell]
Pm (0.333, 0.742, 0.455) [2 per cell]
Pm (0.424, 0.441, 0.184) [2 per cell]
Pb (0.213, 0.171, 0.402) [2 per cell]
Pb (0.383, 0.830, 0.098) [2 per cell]

Results
energy relative to the elements: -323 meV/atom
N(E_F): 0.974 states/eV/atom
total DFT energy (no corrections): -4.776 eV/atom

6.
A relaxed Pm3Pr2Pb4 crystal. Source: Alexandria via LeMat-Bulk, functional GGA-PBE.

Cell: 8.665 8.636 8.347 Å, 90.00 111.49 90.00°
Space group P2_1/c (No. 14)
Inequivalent atoms, fractional coordinates:
Pm (0.000, 0.000, 0.000) [2 per cell]
Pm (0.257, 0.162, 0.764) [4 per cell]
Pr (0.305, 0.681, 0.940) [4 per cell]
Pb (0.011, 0.639, 0.138) [4 per cell]
Pb (0.415, 0.038, 0.171) [4 per cell]

Results
energy relative to the elements: -597 meV/atom
N(E_F): 0.798 states/eV/atom
total DFT energy (no corrections): -4.891 eV/atom

7.
A relaxed Pm3PrPb5 crystal. Source: Alexandria via LeMat-Bulk, functional GGA-PBE.

Cell: 9.8016 9.8016 6.5968 Å, 90.00 90.00 120.00°
Space group P6_3/mcm (No. 193)
Inequivalent atoms, fractional coordinates:
Pm (0.0000, 0.3778, 0.2500) [6 per cell]
Pr (0.0000, 0.0000, 0.0000) [2 per cell]
Pb (0.0000, 0.2947, 0.7500) [6 per cell]
Pb (0.3333, 0.6667, 0.0000) [4 per cell]

Results
energy relative to the elements: -462 meV/atom
N(E_F): 0.871 states/eV/atom
total DFT energy (no corrections): -4.637 eV/atom

8.
A relaxed Pm5PrPb8 crystal. Source: Alexandria via LeMat-Bulk, functional GGA-PBE.

Cell: 9.351 9.351 10.177 Å, 90.00 90.00 90.00°
Space group I-4 (No. 82)
Inequivalent atoms, fractional coordinates:
Pm (0.000, 0.000, 0.000) [2 per cell]
Pm (0.130, 0.278, 0.361) [8 per cell]
Pr (0.000, 0.500, 0.750) [2 per cell]
Pb (0.074, 0.158, 0.694) [8 per cell]
Pb (0.104, 0.324, 0.038) [8 per cell]

Results
energy relative to the elements: -393 meV/atom
N(E_F): 0.773 states/eV/atom
total DFT energy (no corrections): -4.550 eV/atom

9.
A relaxed Pm2Pr2Pb7 crystal. Source: Alexandria via LeMat-Bulk, functional GGA-PBE.

Cell: 9.607 11.369 7.226 Å, 90.00 90.00 90.00°
Space group Cmmm (No. 65)
Inequivalent atoms, fractional coordinates:
Pm (0.000, 0.226, 0.000) [4 per cell]
Pr (0.187, 0.500, 0.500) [4 per cell]
Pb (0.000, 0.000, 0.289) [4 per cell]
Pb (0.000, 0.500, 0.000) [2 per cell]
Pb (0.250, 0.250, 0.286) [8 per cell]

Results
energy relative to the elements: -72 meV/atom
N(E_F): 0.835 states/eV/atom
total DFT energy (no corrections): -4.165 eV/atom

10.
A relaxed PmPr2Pb2 crystal. Source: Alexandria via LeMat-Bulk, functional GGA-PBE.

Cell: 5.2877 5.2877 13.4354 Å, 90.00 90.00 120.00°
Space group P6_3/mmc (No. 194)
Inequivalent atoms, fractional coordinates:
Pm (0.0000, 0.0000, 0.2500) [2 per cell]
Pr (0.0000, 0.0000, 0.0000) [2 per cell]
Pr (0.3333, 0.6667, 0.2500) [2 per cell]
Pb (0.3333, 0.6667, 0.6237) [4 per cell]

Results
energy relative to the elements: -211 meV/atom
N(E_F): 0.914 states/eV/atom
total DFT energy (no corrections): -4.557 eV/atom

11.
A relaxed Pm12PrPb6 crystal. Source: Alexandria via LeMat-Bulk, functional GGA-PBE.

Cell: 14.3016 14.3016 11.4438 Å, 90.00 90.00 120.00°
Space group R-3m (No. 166, hexagonal axes)
Inequivalent atoms, fractional coordinates:
Pm (0.0000, 0.3815, 0.0000) [18 per cell]
Pm (0.0871, 0.1742, 0.8457) [18 per cell]
Pr (0.0000, 0.0000, 0.5000) [3 per cell]
Pb (0.0275, 0.5137, 0.7619) [18 per cell]

Results
energy relative to the elements: -189 meV/atom
N(E_F): 1.565 states/eV/atom
total DFT energy (no corrections): -4.612 eV/atom

12.
A relaxed PmPr2Pb2 crystal. Source: Alexandria via LeMat-Bulk, functional GGA-PBE.

Cell: 8.887 12.319 6.554 Å, 90.00 90.00 90.00°
Space group Ibam (No. 72)
Inequivalent atoms, fractional coordinates:
Pm (0.000, 0.000, 0.250) [4 per cell]
Pr (0.140, 0.357, 0.000) [8 per cell]
Pb (0.225, 0.383, 0.500) [8 per cell]

Results
energy relative to the elements: -359 meV/atom
N(E_F): 0.713 states/eV/atom
total DFT energy (no corrections): -4.704 eV/atom

13.
A relaxed PmPrPb crystal. Source: Alexandria via LeMat-Bulk, functional GGA-PBE.

Cell: 7.586 7.586 7.586 Å, 90.00 90.00 90.00°
Space group F-43m (No. 216)
Inequivalent atoms, fractional coordinates:
Pm (0.000, 0.000, 0.000) [4 per cell]
Pr (0.000, 0.000, 0.500) [4 per cell]
Pb (0.250, 0.250, 0.250) [4 per cell]

Results
energy relative to the elements: -269 meV/atom
N(E_F): 1.418 states/eV/atom
total DFT energy (no corrections): -4.682 eV/atom

14.
A relaxed PmPr7Pb4 crystal. Source: Alexandria via LeMat-Bulk, functional GGA-PBE.

Cell: 14.465 6.030 11.408 Å, 90.00 124.60 90.00°
Space group C2/m (No. 12)
Inequivalent atoms, fractional coordinates:
Pm (0.000, 0.000, 0.000) [2 per cell]
Pr (0.000, 0.500, 0.000) [2 per cell]
Pr (0.053, 0.000, 0.369) [4 per cell]
Pr (0.186, 0.500, 0.606) [4 per cell]
Pr (0.209, 0.000, 0.891) [4 per cell]
Pb (0.068, 0.500, 0.765) [4 per cell]
Pb (0.203, 0.500, 0.327) [4 per cell]

Results
energy relative to the elements: -181 meV/atom
N(E_F): 1.014 states/eV/atom
total DFT energy (no corrections): -4.601 eV/atom

15.
A relaxed PmPrPb6 crystal. Source: Alexandria via LeMat-Bulk, functional GGA-PBE.

Cell: 4.932 4.932 9.868 Å, 90.00 90.00 90.00°
Space group P4/mmm (No. 123)
Inequivalent atoms, fractional coordinates:
Pm (0.000, 0.000, 0.000) [1 per cell]
Pr (0.000, 0.000, 0.500) [1 per cell]
Pb (0.000, 0.500, 0.248) [4 per cell]
Pb (0.500, 0.500, 0.000) [1 per cell]
Pb (0.500, 0.500, 0.500) [1 per cell]

Results
energy relative to the elements: -373 meV/atom
N(E_F): 0.415 states/eV/atom
total DFT energy (no corrections): -4.346 eV/atom

16.
A relaxed Pm12Pr6Pb crystal. Source: Alexandria via LeMat-Bulk, functional GGA-PBE.

Cell: 13.3610 13.3610 13.0907 Å, 90.00 90.00 120.00°
Space group R-3m (No. 166, hexagonal axes)
Inequivalent atoms, fractional coordinates:
Pm (0.0000, 0.2587, 0.0000) [18 per cell]
Pm (0.0592, 0.5296, 0.1119) [18 per cell]
Pr (0.0910, 0.1821, 0.7738) [18 per cell]
Pb (0.0000, 0.0000, 0.0000) [3 per cell]

Results
energy relative to the elements: 62 meV/atom
N(E_F): 1.664 states/eV/atom
total DFT energy (no corrections): -4.643 eV/atom

17.
A relaxed Pm6Pr12Pb crystal. Source: Alexandria via LeMat-Bulk, functional GGA-PBE.

Cell: 13.4760 13.4760 13.0184 Å, 90.00 90.00 120.00°
Space group R-3m (No. 166, hexagonal axes)
Inequivalent atoms, fractional coordinates:
Pm (0.0901, 0.1803, 0.2740) [18 per cell]
Pr (0.0000, 0.2591, 0.5000) [18 per cell]
Pr (0.0607, 0.5304, 0.6112) [18 per cell]
Pb (0.0000, 0.0000, 0.5000) [3 per cell]

Results
energy relative to the elements: 60 meV/atom
N(E_F): 1.544 states/eV/atom
total DFT energy (no corrections): -4.654 eV/atom

18.
A relaxed Pm8PrPb6 crystal. Source: Alexandria via LeMat-Bulk, functional GGA-PBE.

Cell: 9.4402 9.4402 19.9996 Å, 90.00 90.00 120.00°
Space group R-3 (No. 148, hexagonal axes)
Inequivalent atoms, fractional coordinates:
Pm (0.0000, 0.0000, 0.1669) [6 per cell]
Pm (0.0006, 0.3318, 0.6028) [18 per cell]
Pr (0.0000, 0.0000, 0.5000) [3 per cell]
Pb (0.0003, 0.3361, 0.4307) [18 per cell]

Results
energy relative to the elements: -400 meV/atom
N(E_F): 0.725 states/eV/atom
total DFT energy (no corrections): -4.735 eV/atom

19.
A relaxed Pm4PrPb3 crystal. Source: Alexandria via LeMat-Bulk, functional GGA-PBE.

Cell: 9.431 5.455 10.424 Å, 90.00 107.53 90.00°
Space group C2/m (No. 12)
Inequivalent atoms, fractional coordinates:
Pm (0.127, 0.000, 0.380) [4 per cell]
Pm (0.227, 0.500, 0.183) [4 per cell]
Pr (0.000, 0.000, 0.000) [2 per cell]
Pb (0.000, 0.500, 0.500) [2 per cell]
Pb (0.113, 0.500, 0.838) [4 per cell]

Results
energy relative to the elements: -367 meV/atom
N(E_F): 0.802 states/eV/atom
total DFT energy (no corrections): -4.730 eV/atom

20.
A relaxed PmPrPb crystal. Source: Alexandria via LeMat-Bulk, functional GGA-PBE.

Cell: 4.259 4.259 10.174 Å, 90.00 90.00 90.00°
Space group I4mm (No. 107)
Inequivalent atoms, fractional coordinates:
Pm (0.000, 0.000, 0.000) [2 per cell]
Pr (0.000, 0.000, 0.313) [2 per cell]
Pb (0.000, 0.000, 0.654) [2 per cell]

Results
energy relative to the elements: -349 meV/atom
N(E_F): 1.244 states/eV/atom
total DFT energy (no corrections): -4.762 eV/atom

21.
A relaxed Pm4PrPb5 crystal. Source: Alexandria via LeMat-Bulk, functional GGA-PBE.

Cell: 3.596 3.596 23.088 Å, 90.00 90.00 90.00°
Space group P4/mmm (No. 123)
Inequivalent atoms, fractional coordinates:
Pm (0.000, 0.000, 0.100) [2 per cell]
Pm (0.000, 0.000, 0.299) [2 per cell]
Pr (0.000, 0.000, 0.500) [1 per cell]
Pb (0.500, 0.500, 0.000) [1 per cell]
Pb (0.500, 0.500, 0.199) [2 per cell]
Pb (0.500, 0.500, 0.398) [2 per cell]

Results
energy relative to the elements: -510 meV/atom
N(E_F): 0.889 states/eV/atom
total DFT energy (no corrections): -4.743 eV/atom